1.
Entry from the Alexandria database: CaTm3Cd2 after structural relaxation (PBE-GGA).

Cell: 5.173 9.451 6.902 Å, 90.00 90.00 90.00°
Fractional positions:
Ca (0.000, 0.046, 0.000)
Ca (0.000, 0.954, 0.500)
Tm (0.000, 0.324, 0.643)
Tm (0.000, 0.676, 0.143)
Tm (0.500, 0.185, 0.306)
Tm (0.500, 0.454, 0.951)
Tm (0.500, 0.546, 0.451)
Tm (0.500, 0.815, 0.806)
Cd (0.000, 0.357, 0.199)
Cd (0.000, 0.643, 0.699)
Cd (0.500, 0.151, 0.750)
Cd (0.500, 0.849, 0.250)

Summary:
D(E_F) (states/eV/atom): 1.093
Energy of formation from the pure elements (eV per atom): -0.185


2.
Entry from the Alexandria database: MgRe3Ru after structural relaxation (PBE-GGA).

Cell: 4.685 4.685 4.685 Å, 90.00 90.00 90.00°
Fractional positions:
Mg (0.000, 0.000, 0.000)
Re (0.000, 0.500, 0.500)
Re (0.500, 0.000, 0.500)
Re (0.500, 0.500, 0.000)
Ru (0.500, 0.500, 0.500)

Summary:
Energy relative to the lowest polymorph listed for this composition (kJ per mole of atoms): 0.0
D(E_F) (states/eV/atom): 1.281
Energy of formation from the pure elements (eV per atom): 1.924


3.
Entry from the Alexandria database: Tb9DyHo2 after structural relaxation (PBE-GGA).

Cell: 11.208 11.208 3.485 Å, 90.00 90.00 120.00°
Fractional positions:
Tb (0.000, 0.500, 0.000)
Tb (0.176, 0.351, 0.500)
Tb (0.176, 0.824, 0.500)
Tb (0.351, 0.176, 0.500)
Tb (0.500, 0.000, 0.000)
Tb (0.500, 0.500, 0.000)
Tb (0.649, 0.824, 0.500)
Tb (0.824, 0.176, 0.500)
Tb (0.824, 0.649, 0.500)
Dy (0.000, 0.000, 0.000)
Ho (0.333, 0.667, 0.000)
Ho (0.667, 0.333, 0.000)

Summary:
Energy relative to the lowest polymorph listed for this composition (kJ per mole of atoms): 2.8
D(E_F) (states/eV/atom): 1.397
Energy of formation from the pure elements (eV per atom): 0.048


4.
Entry from the Alexandria database: VNiAs2P after structural relaxation (PBE-GGA).

Cell: 4.698 4.698 4.091 Å, 90.00 90.00 90.00°
Fractional positions:
V (0.000, 0.000, 0.000)
Ni (0.500, 0.500, 0.500)
As (0.000, 0.500, 0.500)
As (0.500, 0.000, 0.500)
P (0.500, 0.500, 0.000)

Summary:
D(E_F) (states/eV/atom): 1.843
Energy of formation from the pure elements (eV per atom): 0.715


5.
Entry from the Alexandria database: Pr4Nb after structural relaxation (PBE-GGA).

Cell: 5.697 5.697 5.697 Å, 90.00 90.00 90.00°
Fractional positions:
Pr (0.000, 0.000, 0.000)
Pr (0.000, 0.500, 0.500)
Pr (0.500, 0.000, 0.500)
Pr (0.500, 0.500, 0.000)
Nb (0.500, 0.500, 0.500)

Summary:
D(E_F) (states/eV/atom): 2.071
Energy of formation from the pure elements (eV per atom): 0.482


6.
Entry from the Alexandria database: MgCr2Fe2 after structural relaxation (PBE-GGA).

Cell: 5.318 5.318 5.318 Å, 137.45 137.45 61.75°
Fractional positions:
Mg (0.000, 0.000, 0.000)
Cr (0.250, 0.750, 0.500)
Cr (0.750, 0.250, 0.500)
Fe (0.378, 0.378, 0.000)
Fe (0.622, 0.622, 0.000)

Summary:
Energy relative to the lowest polymorph listed for this composition (kJ per mole of atoms): 1.7
D(E_F) (states/eV/atom): 0.830
Energy of formation from the pure elements (eV per atom): 0.258


7.
Entry from the Alexandria database: K3Ho3ThTe8 after structural relaxation (PBE-GGA).

Cell: 9.825 9.825 9.825 Å, 54.03 54.03 54.03°
Fractional positions:
K (0.000, 0.500, 0.500)
K (0.500, 0.000, 0.500)
K (0.500, 0.500, 0.000)
Ho (0.000, 0.000, 0.500)
Ho (0.000, 0.500, 0.000)
Ho (0.500, 0.000, 0.000)
Th (0.500, 0.500, 0.500)
Te (0.229, 0.740, 0.740)
Te (0.235, 0.235, 0.235)
Te (0.260, 0.260, 0.771)
Te (0.260, 0.771, 0.260)
Te (0.740, 0.229, 0.740)
Te (0.740, 0.740, 0.229)
Te (0.765, 0.765, 0.765)
Te (0.771, 0.260, 0.260)

Summary:
Formation energy from raw total energies (eV per atom): -1.354


8.
Entry from the Alexandria database: LiUIO6 after structural relaxation (PBE-GGA).

Cell: 5.646 5.646 9.450 Å, 90.00 90.00 120.00°
Fractional positions:
Li (0.000, 0.000, 0.000)
Li (0.000, 0.000, 0.500)
U (0.333, 0.667, 0.250)
U (0.667, 0.333, 0.750)
I (0.333, 0.667, 0.750)
I (0.667, 0.333, 0.250)
O (0.000, 0.358, 0.137)
O (0.000, 0.358, 0.637)
O (0.000, 0.642, 0.363)
O (0.000, 0.642, 0.863)
O (0.358, 0.000, 0.137)
O (0.358, 0.000, 0.637)
O (0.358, 0.358, 0.363)
O (0.358, 0.358, 0.863)
O (0.642, 0.000, 0.363)
O (0.642, 0.000, 0.863)
O (0.642, 0.642, 0.137)
O (0.642, 0.642, 0.637)

Summary:
Formation energy from raw total energies (eV per atom): -1.703
D(E_F) (states/eV/atom): 0.000


9.
Entry from the Alexandria database: K2SrGeMo after structural relaxation (PBE-GGA).

Cell: 6.629 6.629 5.003 Å, 90.00 90.00 90.00°
Fractional positions:
K (0.000, 0.500, 0.000)
K (0.500, 0.000, 0.000)
Sr (0.000, 0.000, 0.500)
Ge (0.500, 0.500, 0.500)
Mo (0.500, 0.500, 0.000)

Summary:
Energy relative to the lowest polymorph listed for this composition (kJ per mole of atoms): 9.3
D(E_F) (states/eV/atom): 0.914
Energy of formation from the pure elements (eV per atom): 0.797


10.
Entry from the Alexandria database: MgCo2Si after structural relaxation (PBE-GGA).

Cell: 5.304 5.304 5.304 Å, 104.26 104.26 120.50°
Fractional positions:
Mg (0.000, 0.000, 0.000)
Mg (0.750, 0.250, 0.500)
Co (0.178, 0.625, 0.053)
Co (0.375, 0.428, 0.553)
Co (0.572, 0.125, 0.947)
Co (0.875, 0.822, 0.447)
Si (0.250, 0.750, 0.500)
Si (0.500, 0.500, 0.000)

Summary:
Formation energy from raw total energies (eV per atom): 0.156
D(E_F) (states/eV/atom): 0.909


11.
Entry from the Alexandria database: RbNaSbS2 after structural relaxation (PBE-GGA).

Cell: 8.041 6.747 6.046 Å, 90.00 112.03 90.00°
Fractional positions:
Rb (0.000, 0.234, 0.250)
Rb (0.000, 0.766, 0.750)
Na (0.500, 0.000, 0.250)
Na (0.500, 0.000, 0.750)
Sb (0.500, 0.500, 0.000)
Sb (0.500, 0.500, 0.500)
S (0.259, 0.225, 0.879)
S (0.259, 0.775, 0.379)
S (0.741, 0.225, 0.621)
S (0.741, 0.775, 0.121)

Summary:
Formation energy from raw total energies (eV per atom): -0.544
D(E_F) (states/eV/atom): 0.487


12.
Entry from the Alexandria database: Ho4Er5Tm after structural relaxation (PBE-GGA).

Cell: 7.773 7.773 7.773 Å, 99.20 99.20 132.86°
Fractional positions:
Ho (0.047, 0.345, 0.392)
Ho (0.345, 0.953, 0.298)
Ho (0.655, 0.047, 0.702)
Ho (0.953, 0.655, 0.608)
Er (0.231, 0.231, 0.000)
Er (0.269, 0.646, 0.914)
Er (0.355, 0.269, 0.624)
Er (0.646, 0.732, 0.376)
Er (0.732, 0.355, 0.086)
Tm (0.769, 0.769, 0.000)

Summary:
Energy relative to the lowest polymorph listed for this composition (kJ per mole of atoms): 24.8
D(E_F) (states/eV/atom): 1.409
Energy of formation from the pure elements (eV per atom): 0.313